Arrangement i

Entry from Alexandria: a relaxed Na4Sr3Pb4 crystal (PBE).

Summary:
The spin magnetization is 0.00 μB/cell.

abc: 3.942 5.386 17.723
angles: 81.24 83.65 90.01
Atoms (fractional coordinates):
Na (0.593, 0.092, 0.815)
Na (0.258, 0.258, 0.484)
Na (0.742, 0.742, 0.516)
Na (0.407, 0.908, 0.185)
Sr (0.147, 0.647, 0.706)
Sr (0.853, 0.353, 0.294)
Sr (0.000, 0.000, 0.000)
Pb (0.546, 0.545, 0.909)
Pb (0.455, 0.455, 0.091)
Pb (0.318, 0.818, 0.363)
Pb (0.682, 0.182, 0.637)



Arrangement ii

Entry from Alexandria: a relaxed Na4Sr3Pb4 crystal (PBE).

Summary:
The spin magnetization is 0.00 μB/cell.

abc: 5.319 7.998 9.975
angles: 113.63 105.46 90.00
Atoms (fractional coordinates):
Na (0.326, 0.123, 0.652)
Na (0.674, 0.472, 0.348)
Na (0.674, 0.877, 0.348)
Na (0.326, 0.528, 0.652)
Sr (0.122, 0.122, 0.243)
Sr (0.878, 0.878, 0.757)
Sr (0.000, 0.500, 0.000)
Pb (0.205, 0.705, 0.410)
Pb (0.795, 0.295, 0.590)
Pb (0.500, 0.811, 0.000)
Pb (0.500, 0.189, 0.000)



Which one sits at the bottom of the stability order? arrangement ii does.



Arrangement i

Entry from Alexandria: a relaxed Na3TaPb crystal (PBE).

Summary:
The spin magnetization is 3.17 μB/cell.

abc: 5.704 5.704 5.704
angles: 90.00 90.00 90.00
Atoms (fractional coordinates):
Pb (0.000, 0.000, 0.000)
Na (0.000, 0.500, 0.000)
Na (0.000, 0.000, 0.500)
Na (0.500, 0.000, 0.000)
Ta (0.500, 0.500, 0.500)



Arrangement ii

Entry from Alexandria: a relaxed Na3TaPb crystal (PBE).

Summary:
The spin magnetization is 4.08 μB/cell.

abc: 5.778 5.778 5.778
angles: 90.00 90.00 90.00
Atoms (fractional coordinates):
Pb (0.500, 0.500, 0.500)
Na (0.000, 0.500, 0.000)
Na (0.000, 0.000, 0.500)
Na (0.500, 0.000, 0.000)
Ta (0.000, 0.000, 0.000)



Which one sits at the bottom of the stability order? arrangement ii does.



Arrangement i

Entry from Alexandria: a relaxed NaTbPb3 crystal (PBE).

Summary:
The spin magnetization is 0.00 μB/cell.

abc: 6.407 6.497 14.145
angles: 90.00 90.00 90.18
Atoms (fractional coordinates):
Na (0.250, 0.500, 0.102)
Na (0.750, 0.000, 0.898)
Na (0.750, 0.500, 0.898)
Na (0.250, 0.000, 0.102)
Tb (0.497, 0.250, 0.684)
Tb (0.503, 0.750, 0.316)
Tb (0.997, 0.250, 0.316)
Tb (0.003, 0.750, 0.684)
Pb (0.250, 0.000, 0.504)
Pb (0.750, 0.500, 0.495)
Pb (0.750, 0.000, 0.496)
Pb (0.250, 0.500, 0.505)
Pb (0.211, 0.750, 0.894)
Pb (0.789, 0.250, 0.106)
Pb (0.711, 0.750, 0.106)
Pb (0.289, 0.250, 0.894)
Pb (0.511, 0.750, 0.711)
Pb (0.489, 0.250, 0.289)
Pb (0.011, 0.750, 0.289)
Pb (0.989, 0.250, 0.711)



Arrangement ii

Entry from Alexandria: a relaxed NaTbPb3 crystal (PBE).

Summary:
The spin magnetization is 0.00 μB/cell.

abc: 6.164 7.517 7.517
angles: 120.00 90.00 90.00
Atoms (fractional coordinates):
Na (0.000, 0.000, 0.000)
Na (0.500, 0.000, 0.000)
Tb (0.250, 0.334, 0.666)
Tb (0.750, 0.666, 0.334)
Pb (0.250, 0.802, 0.198)
Pb (0.750, 0.198, 0.802)
Pb (0.250, 0.802, 0.605)
Pb (0.750, 0.198, 0.395)
Pb (0.250, 0.395, 0.198)
Pb (0.750, 0.605, 0.802)



Which one sits at the bottom of the stability order? arrangement ii does.



Arrangement i

Entry from Alexandria: a relaxed NaTbTlPb crystal (PBE).

Summary:
The spin magnetization is 0.00 μB/cell.

abc: 4.274 5.208 4.958
angles: 90.00 90.00 90.00
Atoms (fractional coordinates):
Na (0.000, 0.000, 0.000)
Tb (0.000, 0.500, 0.500)
Tl (0.500, 0.000, 0.500)
Pb (0.500, 0.500, 0.000)



Arrangement ii

Entry from Alexandria: a relaxed NaTbTlPb crystal (PBE).

Summary:
The spin magnetization is 0.00 μB/cell.

abc: 5.404 5.404 5.404
angles: 60.00 60.00 60.00
Atoms (fractional coordinates):
Pb (0.750, 0.750, 0.750)
Na (0.000, 0.000, 0.000)
Tl (0.250, 0.250, 0.250)
Tb (0.500, 0.500, 0.500)



Which one sits at the bottom of the stability order? arrangement ii does.



Arrangement i

Entry from Alexandria: a relaxed Na2Te2Pb crystal (PBE).

Summary:
The spin magnetization is 0.00 μB/cell.

abc: 9.078 9.078 3.634
angles: 90.00 90.00 90.00
Atoms (fractional coordinates):
Pb (0.000, 0.000, 0.000)
Pb (0.500, 0.500, 0.000)
Na (0.128, 0.628, 0.500)
Na (0.628, 0.872, 0.500)
Na (0.872, 0.372, 0.500)
Na (0.372, 0.128, 0.500)
Te (0.328, 0.828, 0.000)
Te (0.828, 0.672, 0.000)
Te (0.672, 0.172, 0.000)
Te (0.172, 0.328, 0.000)



Arrangement ii

Entry from Alexandria: a relaxed Na2Te2Pb crystal (PBE).

Summary:
The spin magnetization is 0.00 μB/cell.

abc: 4.583 6.587 11.037
angles: 90.00 101.98 90.00
Atoms (fractional coordinates):
Na (0.001, 0.274, 0.001)
Na (0.183, 0.523, 0.365)
Na (0.817, 0.023, 0.635)
Na (0.999, 0.774, 0.999)
Te (0.572, 0.525, 0.143)
Te (0.200, 0.022, 0.399)
Te (0.800, 0.522, 0.601)
Te (0.428, 0.025, 0.857)
Pb (0.608, 0.022, 0.216)
Pb (0.392, 0.522, 0.784)



Arrangement iii

Entry from Alexandria: a relaxed Na2Te2Pb crystal (PBE).

Summary:
The spin magnetization is 0.00 μB/cell.

abc: 7.762 7.746 11.493
angles: 89.95 90.00 90.00
Atoms (fractional coordinates):
Na (0.750, 0.500, 0.983)
Na (0.750, 0.000, 0.983)
Na (0.250, 0.000, 0.017)
Na (0.250, 0.500, 0.017)
Na (0.250, 0.000, 0.721)
Na (0.250, 0.500, 0.721)
Na (0.750, 0.500, 0.279)
Na (0.750, 0.000, 0.279)
Te (0.990, 0.250, 0.848)
Te (0.510, 0.750, 0.848)
Te (0.490, 0.250, 0.152)
Te (0.010, 0.750, 0.152)
Te (0.434, 0.250, 0.557)
Te (0.066, 0.750, 0.557)
Te (0.934, 0.250, 0.443)
Te (0.566, 0.750, 0.443)
Pb (0.750, 0.500, 0.628)
Pb (0.250, 0.500, 0.372)
Pb (0.750, 0.000, 0.628)
Pb (0.250, 0.000, 0.372)



Arrangement iv

Entry from Alexandria: a relaxed Na2Te2Pb crystal (PBE).

Summary:
The spin magnetization is 0.00 μB/cell.

abc: 4.439 4.439 8.533
angles: 74.92 74.92 90.00
Atoms (fractional coordinates):
Pb (0.000, 0.000, 0.000)
Na (0.750, 0.250, 0.500)
Na (0.250, 0.750, 0.500)
Te (0.386, 0.386, 0.229)
Te (0.614, 0.614, 0.771)



Which one sits at the bottom of the stability order? arrangement iv does.



Arrangement i

Entry from Alexandria: a relaxed Na2TePb2 crystal (PBE).

Summary:
The spin magnetization is 0.00 μB/cell.

abc: 7.763 7.763 5.122
angles: 90.00 90.00 90.00
Atoms (fractional coordinates):
Pb (0.150, 0.650, 0.500)
Pb (0.650, 0.850, 0.500)
Pb (0.850, 0.350, 0.500)
Pb (0.350, 0.150, 0.500)
Na (0.352, 0.852, 0.000)
Na (0.852, 0.648, 0.000)
Na (0.648, 0.148, 0.000)
Na (0.148, 0.352, 0.000)
Te (0.000, 0.000, 0.000)
Te (0.500, 0.500, 0.000)



Arrangement ii

Entry from Alexandria: a relaxed Na2TePb2 crystal (PBE).

Summary:
The spin magnetization is 0.00 μB/cell.

abc: 8.277 8.277 4.687
angles: 90.00 90.00 90.00
Atoms (fractional coordinates):
Pb (0.367, 0.867, 0.000)
Pb (0.867, 0.633, 0.000)
Pb (0.633, 0.133, 0.000)
Pb (0.133, 0.367, 0.000)
Na (0.170, 0.670, 0.500)
Na (0.670, 0.830, 0.500)
Na (0.830, 0.330, 0.500)
Na (0.330, 0.170, 0.500)
Te (0.000, 0.000, 0.000)
Te (0.500, 0.500, 0.000)



Which one sits at the bottom of the stability order? arrangement i does.



Arrangement i

Entry from Alexandria: a relaxed NaTe2Pb2 crystal (PBE).

Summary:
The spin magnetization is 0.00 μB/cell.

abc: 8.613 8.613 4.447
angles: 90.00 90.00 90.00
Atoms (fractional coordinates):
Pb (0.141, 0.641, 0.500)
Pb (0.641, 0.859, 0.500)
Pb (0.859, 0.359, 0.500)
Pb (0.359, 0.141, 0.500)
Na (0.000, 0.000, 0.000)
Na (0.500, 0.500, 0.000)
Te (0.335, 0.835, 0.000)
Te (0.835, 0.665, 0.000)
Te (0.665, 0.165, 0.000)
Te (0.165, 0.335, 0.000)



Arrangement ii

Entry from Alexandria: a relaxed NaTe2Pb2 crystal (PBE).

Summary:
The spin magnetization is 0.00 μB/cell.

abc: 4.624 4.624 8.758
angles: 74.69 74.69 90.00
Atoms (fractional coordinates):
Pb (0.750, 0.250, 0.500)
Pb (0.250, 0.750, 0.500)
Na (0.000, 0.000, 0.000)
Te (0.405, 0.405, 0.189)
Te (0.595, 0.595, 0.811)



Which one sits at the bottom of the stability order? arrangement ii does.



Arrangement i

Entry from Alexandria: a relaxed NaTl7Pb4 crystal (PBE).

Summary:
The spin magnetization is 0.00 μB/cell.

abc: 5.898 11.343 6.716
angles: 83.74 63.96 74.93
Atoms (fractional coordinates):
Na (0.000, 0.000, 0.000)
Tl (0.798, 0.916, 0.489)
Tl (0.202, 0.084, 0.511)
Tl (0.042, 0.622, 0.295)
Tl (0.958, 0.378, 0.705)
Tl (0.345, 0.542, 0.767)
Tl (0.500, 0.000, 0.000)
Tl (0.655, 0.458, 0.233)
Pb (0.594, 0.226, 0.586)
Pb (0.406, 0.774, 0.414)
Pb (0.712, 0.700, 0.875)
Pb (0.288, 0.300, 0.125)



Arrangement ii

Entry from Alexandria: a relaxed NaTl7Pb4 crystal (PBE).

Summary:
The spin magnetization is 0.00 μB/cell.

abc: 5.532 5.532 13.793
angles: 90.00 90.00 120.00
Atoms (fractional coordinates):
Na (0.000, 0.000, 0.500)
Tl (0.000, 0.000, 0.000)
Tl (0.333, 0.667, 0.422)
Tl (0.667, 0.333, 0.578)
Tl (0.333, 0.667, 0.174)
Tl (0.667, 0.333, 0.826)
Tl (0.000, 0.000, 0.751)
Tl (0.000, 0.000, 0.249)
Pb (0.333, 0.667, 0.914)
Pb (0.667, 0.333, 0.086)
Pb (0.333, 0.667, 0.664)
Pb (0.667, 0.333, 0.336)



Which one sits at the bottom of the stability order? arrangement i does.



Arrangement i

Entry from Alexandria: a relaxed NaTl2Pb6 crystal (PBE).

Summary:
The spin magnetization is 0.00 μB/cell.

abc: 8.414 6.164 6.164
angles: 71.55 76.03 76.03
Atoms (fractional coordinates):
Na (0.000, 0.000, 0.000)
Tl (0.916, 0.673, 0.673)
Tl (0.084, 0.327, 0.327)
Pb (0.295, 0.319, 0.779)
Pb (0.483, 0.759, 0.759)
Pb (0.295, 0.779, 0.319)
Pb (0.705, 0.681, 0.221)
Pb (0.517, 0.241, 0.241)
Pb (0.705, 0.221, 0.681)



Arrangement ii

Entry from Alexandria: a relaxed NaTl2Pb6 crystal (PBE).

Summary:
The spin magnetization is 0.00 μB/cell.

abc: 8.725 9.119 8.725
angles: 64.34 84.89 64.34
Atoms (fractional coordinates):
Na (0.884, 0.750, 0.116)
Na (0.116, 0.250, 0.884)
Tl (0.469, 0.910, 0.206)
Tl (0.794, 0.590, 0.531)
Tl (0.531, 0.090, 0.794)
Tl (0.206, 0.410, 0.469)
Pb (0.440, 0.528, 0.681)
Pb (0.319, 0.972, 0.560)
Pb (0.560, 0.472, 0.319)
Pb (0.681, 0.028, 0.440)
Pb (0.896, 0.137, 0.667)
Pb (0.333, 0.363, 0.104)
Pb (0.104, 0.863, 0.333)
Pb (0.667, 0.637, 0.896)
Pb (0.250, 0.798, 0.974)
Pb (0.026, 0.702, 0.750)
Pb (0.750, 0.202, 0.026)
Pb (0.974, 0.298, 0.250)



Which one sits at the bottom of the stability order? arrangement i does.



Arrangement i

Entry from Alexandria: a relaxed Na4Tl3Pb5 crystal (PBE).

Summary:
The spin magnetization is 0.00 μB/cell.

abc: 5.822 7.926 9.732
angles: 90.06 72.60 68.45
Atoms (fractional coordinates):
Na (0.975, 0.268, 0.782)
Na (0.217, 0.733, 0.833)
Na (0.783, 0.267, 0.167)
Na (0.025, 0.732, 0.218)
Tl (0.265, 0.926, 0.544)
Tl (0.000, 0.500, 0.500)
Tl (0.735, 0.074, 0.456)
Pb (0.616, 0.975, 0.793)
Pb (0.500, 0.500, 0.500)
Pb (0.322, 0.360, 0.996)
Pb (0.678, 0.640, 0.004)
Pb (0.384, 0.025, 0.207)



Arrangement ii

Entry from Alexandria: a relaxed Na4Tl3Pb5 crystal (PBE).

Summary:
The spin magnetization is 0.00 μB/cell.

abc: 6.950 12.145 13.921
angles: 154.12 51.19 135.81
Atoms (fractional coordinates):
Na (0.835, 0.787, 0.614)
Na (0.908, 0.712, 0.882)
Na (0.092, 0.288, 0.118)
Na (0.165, 0.213, 0.386)
Tl (0.668, 0.229, 0.395)
Tl (0.000, 0.000, 0.500)
Tl (0.332, 0.771, 0.605)
Pb (0.421, 0.729, 0.892)
Pb (0.500, 0.000, 0.500)
Pb (0.755, 0.489, 0.991)
Pb (0.245, 0.511, 0.009)
Pb (0.579, 0.271, 0.108)



Which one sits at the bottom of the stability order? arrangement i does.